1.
## TcTe2Br (GGA-PBE)

Data for crystalline TcTe2Br at its relaxed geometry.

Values from the calculation:
- crystal system = orthorhombic
- energy above the most stable polymorph in this dataset (eV per atom) = 0.477

Cell: 3.216 5.049 12.448 Å, 90.00 90.00 90.00°
Space group Immm (No. 71)
Unique sites:
Tc: 0.000 0.000 0.000 (multiplicity 2)
Te: 0.000 0.500 0.325 (multiplicity 4)
Br: 0.000 0.000 0.500 (multiplicity 2)


2.
## Tc4TeBr (GGA-PBE)

Data for crystalline Tc4TeBr at its relaxed geometry.

Values from the calculation:
- crystal system = cubic

Cell: 7.528 7.528 7.528 Å, 90.00 90.00 90.00°
Space group F-43m (No. 216)
Unique sites:
Tc: 0.124 0.124 0.124 (multiplicity 16)
Te: 0.250 0.250 0.750 (multiplicity 4)
Br: 0.000 0.000 0.500 (multiplicity 4)


| no. | uncorrected formation energy (eV per formula unit) | VASP energy (eV/f.u.) |
| --- | --- | --- |
| 1 | 1.16 | -17.161 |
| 2 | 6.06 | -40.219 |